! SrCa4Hg5, optimized geometry, DFT PBE; values from VASP
! - Energy: -16.6 eV per cell
! - E_form: -541 meV per atom
! - Volume: 280.63 Å³ per cell
&SYSTEM
  ibrav = 0, nat = 10, ntyp = 3
/
ATOMIC_SPECIES
Sr 87.62 Sr.upf
Ca 40.08 Ca.upf
Hg 200.59 Hg.upf
ATOMIC_POSITIONS crystal
Sr 0.0000 0.0000 0.0000
Ca 0.0000 0.0000 0.2065
Ca 0.0000 0.0000 0.4021
Ca 0.0000 0.0000 0.5979
Ca 0.0000 0.0000 0.7935
Hg 0.5000 0.5000 0.1098
Hg 0.5000 0.5000 0.3046
Hg 0.5000 0.5000 0.5000
Hg 0.5000 0.5000 0.6954
Hg 0.5000 0.5000 0.8902
CELL_PARAMETERS angstrom
3.8014 0.0000 0.0000
0.0000 3.8014 0.0000
0.0000 0.0000 19.4200